[1]
Computed, not measured: HfAlNiHg after structural relaxation at the PBE level of DFT.

For the energy relative to the lowest polymorph listed for this composition, the calculation gives 55 kJ/mol of formula units. As for the crystal system: cubic. For the density, the calculation gives 11.363 g/cm3.

The structure belongs to space group F-43m (No. 216); the cell edges are 6.477, 6.477 and 6.477 Å and the angles 90.00°, 90.00° and 90.00°. The inequivalent atoms are Hf at (0.000, 0.000, 0.000), Al at (0.250, 0.250, 0.250), Ni at (0.000, 0.000, 0.500) and Hg at (0.250, 0.250, 0.750).

***

[2]
Computed, not measured: HoHfAl2Pd4 after structural relaxation at the PBE level of DFT.

As for the crystal system: hexagonal. For the density, the calculation gives 9.528 g/cm3. For the total energy, the calculation gives -6.222 eV per atom.

The structure belongs to space group P-6m2 (No. 187); the cell edges are 4.3272, 4.3272 and 8.8458 Å and the angles 90.00°, 90.00° and 120.00°. The inequivalent atoms are Ho at (0.0000, 0.0000, 0.0000), Hf at (0.3333, 0.6667, 0.5000), Al at (0.6667, 0.3333, 0.2631), Pd at (0.0000, 0.0000, 0.3426) and Pd at (0.3333, 0.6667, 0.1768).

***

[3]
Computed, not measured: HfAl2In after structural relaxation at the PBE level of DFT.

As for the crystal system: cubic. For the density, the calculation gives 7.201 g/cm3. For the total energy, the calculation gives -4.830 eV per atom.

The structure belongs to space group F-43m (No. 216); the cell edges are 6.842, 6.842 and 6.842 Å and the angles 90.00°, 90.00° and 90.00°. The inequivalent atoms are Hf at (0.000, 0.000, 0.000), Al at (0.000, 0.000, 0.500), Al at (0.250, 0.250, 0.250) and In at (0.250, 0.250, 0.750).